LiSc2Hg: relaxed, PBE-GGA.

Formation enthalpy at 0 K   0.21 eV per atom
V   24.53 Å³/atom
Crystal system   orthorhombic

Structure (POSCAR):
```
LiSc2Hg
1.0
-4.974 4.311 -1.525
3.820 -4.386 -3.439
2.331 -5.962 2.164
Sc Hg Li
2 1 1
Direct
0.000 0.739 0.739
0.000 0.261 0.261
0.000 0.500 0.500
0.000 0.000 0.000
```